Below is crystalline Cs4BaMn3F12 at its relaxed geometry, with properties calculated at the GGA+U level.

Theoretical density ... 4.6 g cm⁻³
Total magnetization ... 30.0 μB/cell
Total energy ... -215.56 eV for the cell shown
Volume ... 767.7 Å³ per cell

Cell lengths 9.156, 9.156, 9.156 Å; angles 90.00, 90.00, 90.00 degrees
Space group Im-3m (No. 229)
Symmetry-distinct sites (fractional):
Cs: 0.250 0.250 0.250 [8 per cell]
Ba: 0.000 0.000 0.000 [2 per cell]
Mn: 0.000 0.000 0.500 [6 per cell]
F: 0.000 0.000 0.275 [12 per cell]
F: 0.000 0.250 0.500 [12 per cell]

Below is crystalline Cs2BaMoF6 at its relaxed geometry, with properties calculated at the GGA+U level.

Theoretical density ... 4.6 g cm⁻³
Total magnetization ... 4.0 μB/cell
Total energy ... -98.95 eV for the cell shown
Volume ... 441.8 Å³ per cell

Cell lengths 6.725, 9.489, 6.922 Å; angles 90.00, 90.00, 90.00 degrees
Space group Pmmn (No. 59, origin choice 2)
Symmetry-distinct sites (fractional):
Cs: 0.250 0.004 0.242 [4 per cell]
Ba: 0.250 0.250 0.743 [2 per cell]
Mo: 0.250 0.750 0.755 [2 per cell]
F: 0.018 0.750 0.517 [4 per cell]
F: 0.018 0.750 0.993 [4 per cell]
F: 0.250 0.520 0.758 [4 per cell]

Below is crystalline CsBa2MoF8 at its relaxed geometry, with properties calculated at the GGA+U level.

Theoretical density ... 4.6 g cm⁻³
Total magnetization ... 3.0 μB/cell
Total energy ... -65.57 eV for the cell shown
Volume ... 238.5 Å³ per cell

Cell lengths 4.696, 8.592, 5.972 Å; angles 90.00, 98.13, 90.00 degrees
Space group P2/m (No. 10)
Symmetry-distinct sites (fractional):
Cs: 0.000 0.000 0.000 [1 per cell]
Ba: 0.500 0.258 0.500 [2 per cell]
Mo: 0.000 0.500 0.000 [1 per cell]
F: 0.056 0.318 0.765 [4 per cell]
F: 0.402 0.500 0.210 [2 per cell]
F: 0.441 0.000 0.716 [2 per cell]

Below is crystalline Cs2BaMoF8 at its relaxed geometry, with properties calculated at the GGA+U level.

Theoretical density ... 4.6 g cm⁻³
Total magnetization ... 4.0 μB/cell
Total energy ... -121.43 eV for the cell shown
Volume ... 468.0 Å³ per cell

Cell lengths 6.424, 6.424, 11.340 Å; angles 90.00, 90.00, 90.00 degrees
Space group I-4m2 (No. 119)
Symmetry-distinct sites (fractional):
Cs: 0.000 0.000 0.000 [2 per cell]
Cs: 0.000 0.500 0.250 [2 per cell]
Ba: 0.000 0.000 0.500 [2 per cell]
Mo: 0.000 0.500 0.750 [2 per cell]
F: 0.186 0.300 0.641 [16 per cell]